# 1
An optimized crystal structure of CsAc2Pb, computed with PBE.

The structure in extended XYZ format:
```
4
Lattice="2.150 1.241 13.093 -2.150 1.241 13.093 0.000 -2.482 13.093" Properties=species:S:1:pos:R:3 pbc="T T T"
Cs 0.000 0.000 0.000
Ac 0.000 0.000 4.224
Ac 0.000 0.000 35.054
Pb 0.000 0.000 19.639
```

Properties
- symmetry = R-3m (166)
- Fermi-level density of states (states/eV/f.u.) = 6.8
- VASP energy (eV per cell) = -12.5
- formation energy from the elements (eV per atom) = 0.072

---

# 2
An optimized crystal structure of RbPb3I, computed with PBE.

The structure in extended XYZ format:
```
5
Lattice="6.176 0.000 0.000 0.000 6.176 0.000 0.000 0.000 6.176" Properties=species:S:1:pos:R:3 pbc="T T T"
Rb 0.000 0.000 0.000
Pb 0.000 3.088 3.088
Pb 3.088 0.000 3.088
Pb 3.088 3.088 0.000
I 3.088 3.088 3.088
```

Properties
- symmetry = Pm-3m (221)
- E_form (uncorrected) (eV/atom) = 0.33
- Fermi-level density of states (states/eV/f.u.) = 2.9
- relative energy among the computed polymorphs (meV per atom) = 0
- VASP energy (eV per cell) = -12.0

---

# 3
An optimized crystal structure of Hf2Zr2Tc, computed with PBE.

The structure in extended XYZ format:
```
5
Lattice="-1.642 1.642 9.594 1.642 -1.642 9.594 1.642 1.642 -9.594" Properties=species:S:1:pos:R:3 pbc="T T T"
Hf 0.000 0.000 1.573
Hf 0.000 0.000 17.615
Zr 0.000 0.000 5.895
Zr 0.000 0.000 13.293
Tc 0.000 0.000 9.594
```

Properties
- symmetry = I4/mmm (139)
- Fermi-level density of states (states/eV/f.u.) = 7.0
- relative energy among the computed polymorphs (meV per atom) = 0
- VASP energy (eV per cell) = -48.3
- formation energy from the elements (eV per atom) = -0.196

---

# 4
An optimized crystal structure of Sc2HgSb2, computed with PBE.

The structure in extended XYZ format:
```
5
Lattice="-2.106 2.106 7.367 2.106 -2.106 7.367 2.106 2.106 -7.367" Properties=species:S:1:pos:R:3 pbc="T T T"
Sc 0.000 0.000 1.509
Sc 0.000 0.000 13.225
Hg 0.000 0.000 7.367
Sb 2.106 0.000 3.683
Sb 0.000 2.106 3.683
```

Properties
- symmetry = I4/mmm (139)
- E_form (uncorrected) (eV/atom) = -0.28
- Fermi-level density of states (states/eV/f.u.) = 4.1
- relative energy among the computed polymorphs (meV per atom) = 339
- VASP energy (eV per cell) = -22.6

---

# 5
An optimized crystal structure of Sm2Ho2Bi5, computed with PBE.

The structure in extended XYZ format:
```
18
Lattice="8.064 -4.135 0.000 8.064 4.135 0.000 0.000 0.000 8.491" Properties=species:S:1:pos:R:3 pbc="T T T"
Sm 3.109 0.000 0.000
Sm 4.954 0.000 4.246
Sm 11.173 0.000 4.246
Sm 13.018 0.000 0.000
Ho 8.064 2.862 5.591
Ho 8.064 1.273 1.345
Ho 8.064 -1.273 7.146
Ho 8.064 -2.862 2.900
Bi 0.000 0.000 0.000
Bi 5.833 2.885 2.966
Bi 5.833 1.250 7.212
Bi 10.294 2.885 2.966
Bi 10.294 1.250 7.212
Bi 8.064 0.000 4.246
Bi 5.833 -1.250 1.280
Bi 5.833 -2.885 5.525
Bi 10.294 -1.250 1.280
Bi 10.294 -2.885 5.525
```

Properties
- symmetry = Cmce (64)
- Fermi-level density of states (states/eV/f.u.) = 5.7
- VASP energy (eV per cell) = -87.8
- formation energy from the elements (eV per atom) = -0.657

---

# 6
An optimized crystal structure of Sr2LaPrS4, computed with PBE.

The structure in extended XYZ format:
```
8
Lattice="7.216 0.000 0.000 0.000 4.169 0.000 -2.405 0.000 6.946" Properties=species:S:1:pos:R:3 pbc="T T T"
Sr 0.000 0.000 0.000
Sr 3.608 2.085 0.000
La -1.203 2.085 3.473
Pr 2.405 0.000 3.473
S 0.008 0.000 5.169
S 1.207 2.085 1.780
S 3.604 2.085 5.166
S 4.803 0.000 1.777
```

Properties
- symmetry = P2/m (10)
- E_form (uncorrected) (eV/atom) = -2.08
- Fermi-level density of states (states/eV/f.u.) = 3.7
- VASP energy (eV per cell) = -46.2

---

# 7
An optimized crystal structure of YInSn2, computed with PBE.

The structure in extended XYZ format:
```
4
Lattice="4.128 0.000 0.000 0.000 4.128 0.000 0.000 0.000 6.326" Properties=species:S:1:pos:R:3 pbc="T T T"
Y 0.000 0.000 0.000
In 0.000 0.000 3.163
Sn 2.064 2.064 1.538
Sn 2.064 2.064 4.787
```

Properties
- symmetry = P4/mmm (123)
- Fermi-level density of states (states/eV/f.u.) = 1.8
- VASP energy (eV per cell) = -18.6
- formation energy from the elements (eV per atom) = -0.346

---

# 8
An optimized crystal structure of Ac2TmSb2Se2, computed with PBE.

The structure in extended XYZ format:
```
7
Lattice="-2.849 2.849 7.794 2.849 -2.849 7.794 2.849 2.849 -7.794" Properties=species:S:1:pos:R:3 pbc="T T T"
Ac 0.000 0.000 2.049
Ac 0.000 0.000 13.538
Tm 0.000 0.000 7.794
Sb 2.849 0.000 0.000
Sb 0.000 2.849 0.000
Se 0.000 0.000 4.977
Se 0.000 0.000 10.610
```

Properties
- symmetry = I4/mmm (139)
- E_form (uncorrected) (eV/atom) = -1.10
- Fermi-level density of states (states/eV/f.u.) = 4.1
- VASP energy (eV per cell) = -35.6

---

What did the fourth record say?
An optimized crystal structure of Sc2HgSb2, computed with PBE.

The structure in extended XYZ format:
```
5
Lattice="-2.106 2.106 7.367 2.106 -2.106 7.367 2.106 2.106 -7.367" Properties=species:S:1:pos:R:3 pbc="T T T"
Sc 0.000 0.000 1.509
Sc 0.000 0.000 13.225
Hg 0.000 0.000 7.367
Sb 2.106 0.000 3.683
Sb 0.000 2.106 3.683
```

Properties
- symmetry = I4/mmm (139)
- E_form (uncorrected) (eV/atom) = -0.28
- Fermi-level density of states (states/eV/f.u.) = 4.1
- relative energy among the computed polymorphs (meV per atom) = 339
- VASP energy (eV per cell) = -22.6

---

Copy entry 7 word for word.
An optimized crystal structure of YInSn2, computed with PBE.

The structure in extended XYZ format:
```
4
Lattice="4.128 0.000 0.000 0.000 4.128 0.000 0.000 0.000 6.326" Properties=species:S:1:pos:R:3 pbc="T T T"
Y 0.000 0.000 0.000
In 0.000 0.000 3.163
Sn 2.064 2.064 1.538
Sn 2.064 2.064 4.787
```

Properties
- symmetry = P4/mmm (123)
- Fermi-level density of states (states/eV/f.u.) = 1.8
- VASP energy (eV per cell) = -18.6
- formation energy from the elements (eV per atom) = -0.346

---

Which value of VASP energy does entry 3 give?
-48.3 eV per cell